{
  "formula": "BaCoSiO4",
  "functional": "GGA+U",
  "state": "optimized geometry",
  "polymorph_energy_kj_per_mol_atoms": 7.6,
  "m_tot_mub_per_fu": 1.0,
  "cell": [[9.1170, 0.0000, 0.0000], [-4.5585, 7.8956, 0.0000], [0.0000, 0.0000, 8.6296]],
  "species": ["Ba", "Ba", "Ba", "Ba", "Ba", "Ba", "Co", "Co", "Co", "Co", "Co", "Co", "Si", "Si", "Si", "Si", "Si", "Si", "O", "O", "O", "O", "O", "O", "O", "O", "O", "O", "O", "O", "O", "O", "O", "O", "O", "O", "O", "O", "O", "O", "O", "O"],
  "frac_coords": [[0.0000, 0.0000, 0.0000], [0.0000, 0.0000, 0.5000], [0.3333, 0.6667, 0.4537], [0.3333, 0.6667, 0.9594], [0.6667, 0.3333, 0.4594], [0.6667, 0.3333, 0.9537], [0.0135, 0.6875, 0.7723], [0.3125, 0.3260, 0.7723], [0.3260, 0.0135, 0.2723], [0.6740, 0.9865, 0.7723], [0.6875, 0.6740, 0.2723], [0.9865, 0.3125, 0.2723], [0.0129, 0.6709, 0.1703], [0.3291, 0.3421, 0.1703], [0.3421, 0.0129, 0.6703], [0.6579, 0.9871, 0.1703], [0.6709, 0.6579, 0.6703], [0.9871, 0.3291, 0.6703], [0.0771, 0.7325, 0.9916], [0.0835, 0.8465, 0.2714], [0.0958, 0.5551, 0.2245], [0.1535, 0.2370, 0.2714], [0.1949, 0.4356, 0.6806], [0.2370, 0.0835, 0.7714], [0.2407, 0.8051, 0.6806], [0.2675, 0.3446, 0.9916], [0.3446, 0.0771, 0.4916], [0.4356, 0.2407, 0.1806], [0.4449, 0.5407, 0.2245], [0.4593, 0.9042, 0.2245], [0.5407, 0.0958, 0.7245], [0.5551, 0.4593, 0.7245], [0.5644, 0.7593, 0.6806], [0.6554, 0.9229, 0.9916], [0.7325, 0.6554, 0.4916], [0.7593, 0.1949, 0.1806], [0.7630, 0.9165, 0.2714], [0.8051, 0.5644, 0.1806], [0.8465, 0.7630, 0.7714], [0.9042, 0.4449, 0.7245], [0.9165, 0.1535, 0.7714], [0.9229, 0.2675, 0.4916]]
}